# PBE-GGA NaSrLiAg2, relaxed
data_NaSrLiAg2
_cell_length_a 5.085
_cell_length_b 5.085
_cell_length_c 4.948
_cell_angle_alpha 90.00
_cell_angle_beta 90.00
_cell_angle_gamma 90.00
_space_group_name_H-M_alt 'P 1'
_space_group_IT_number 1
loop_
_space_group_symop_operation_xyz
'x,y,z'
loop_
_atom_site_label
_atom_site_fract_x
_atom_site_fract_y
_atom_site_fract_z
Na1 0.000 0.000 0.000
Sr1 0.500 0.500 0.000
Li1 0.000 0.000 0.500
Ag1 0.000 0.500 0.500
Ag2 0.500 0.000 0.500
# V: 128.0 Å³ per cell
# Density of states at the Fermi level: 0.534 states/eV/atom
# Calculated density: 4.3 g/cm³
# Formation energy from the elements: -0.013 eV/atom
# E: -0.1570 Ry per atom